Computed, not measured: crystalline Tb3Pm5Dy4 at its relaxed geometry at the PBE level of DFT.

a b c (Å): 6.219 7.180 8.794
angles (deg): 90.06 90.11 90.10
Space group P-1 (No. 2)
Inequivalent atoms, fractional coordinates:
Tb (0.000, 0.000, 0.000) (multiplicity 1)
Tb (0.166, 0.749, 0.665) (multiplicity 2)
Pm (0.000, 0.500, 0.000) (multiplicity 1)
Pm (0.332, 0.000, 0.335) (multiplicity 2)
Pm (0.500, 0.251, 0.000) (multiplicity 2)
Dy (0.166, 0.251, 0.665) (multiplicity 2)
Dy (0.334, 0.500, 0.335) (multiplicity 2)

Computed properties:
ΔE_f (eV per atom): 0.014
Calculated volume (Å³/cell): 392.6
Spin magnetization (μB per formula unit): 0.0
Energy relative to the lowest polymorph listed for this composition (meV/atom): 0